Below is a relaxed Pt2AuCl crystal, with properties calculated at the GGA-PBE level.

Cell and atoms, written as extended XYZ:
```
4
Lattice="2.8883 0.0000 0.0000 0.0000 2.9618 0.0000 0.0000 0.0000 8.1348" Properties=species:S:1:pos:R:3 pbc="T T T"
Pt 0.0000 0.0000 1.9882
Pt 0.0000 0.0000 6.1466
Au 1.4442 1.4809 0.0000
Cl 0.0000 1.4809 4.0674
```

## Properties
Its crystal system is orthorhombic. Its total magnetic moment is 0.0 μB/f.u. The energy relative to the elements, uncorrected comes out at 0.286 eV per atom. The energy above the lowest structure with this stoichiometry comes out at 101.2 meV/atom. For the final energy, the calculation gives -16.06 eV/cell. Its space-group type is Pmmm, No. 47. The calculated volume comes out at 69.6 Å³ per cell.

Below is a relaxed Pt2AuCl crystal, with properties calculated at the GGA-PBE level.

Cell and atoms, written as extended XYZ:
```
4
Lattice="2.9174 0.0000 0.0000 0.0000 3.4587 0.0000 -0.0121 0.0000 7.3228" Properties=species:S:1:pos:R:3 pbc="T T T"
Pt 0.0000 0.0000 0.0000
Pt 1.4575 1.7294 1.5426
Au -0.0026 0.0000 3.2146
Cl 2.9040 1.7294 5.5864
```

## Properties
Its crystal system is monoclinic. Its total magnetic moment is 0.0 μB/f.u. The energy relative to the elements, uncorrected comes out at 0.185 eV per atom. The energy above the lowest structure with this stoichiometry comes out at 0.0 meV/atom. For the final energy, the calculation gives -16.47 eV/cell. Its space-group type is Pm, No. 6. The calculated volume comes out at 73.9 Å³ per cell.

Below is a relaxed PtAu2Cl8 crystal, with properties calculated at the GGA-PBE level.

Cell and atoms, written as extended XYZ:
```
11
Lattice="5.3194 -4.0349 0.0000 5.3194 4.0349 0.0000 -0.7675 0.0000 6.6249" Properties=species:S:1:pos:R:3 pbc="T T T"
Pt 0.0000 0.0000 0.0000
Au 3.9879 0.0000 1.4002
Au 5.8833 0.0000 5.2247
Cl 4.0120 2.4568 1.3007
Cl 1.5994 0.0000 1.7411
Cl 5.8593 2.4568 5.3242
Cl 3.5758 0.0000 4.8642
Cl 6.2954 0.0000 1.7608
Cl 4.0120 -2.4568 1.3007
Cl 8.2718 0.0000 4.8838
Cl 5.8593 -2.4568 5.3242
```

## Properties
Its crystal system is monoclinic. Its total magnetic moment is 0.0 μB/f.u. The energy relative to the elements, uncorrected comes out at -0.242 eV per atom. The energy above the lowest structure with this stoichiometry comes out at 0.0 meV/atom. For the final energy, the calculation gives -30.03 eV/cell. Its space-group type is C2/m, No. 12. The calculated volume comes out at 284.4 Å³ per cell.

Below is a relaxed PtAuCl2 crystal, with properties calculated at the GGA-PBE level.

Cell and atoms, written as extended XYZ:
```
4
Lattice="5.2506 -1.6109 0.0000 5.2506 1.6109 0.0000 -2.8096 0.0000 6.1337" Properties=species:S:1:pos:R:3 pbc="T T T"
Pt 0.0000 0.0000 0.0000
Au 4.9601 0.0000 6.1264
Cl 2.3664 0.0000 4.3666
Cl 5.1733 0.0000 1.7668
```

## Properties
Its crystal system is monoclinic. Its total magnetic moment is 0.5 μB/f.u. The energy relative to the elements, uncorrected comes out at 0.103 eV per atom. The energy above the lowest structure with this stoichiometry comes out at 178.1 meV/atom. For the final energy, the calculation gives -12.60 eV/cell. Its space-group type is Cm, No. 8. The calculated volume comes out at 103.8 Å³ per cell.

Below is a relaxed Pt2AuCl crystal, with properties calculated at the GGA-PBE level.

Cell and atoms, written as extended XYZ:
```
8
Lattice="-1.9425 1.9425 9.6810 1.9425 -1.9425 9.6810 1.9425 1.9425 -9.6810" Properties=species:S:1:pos:R:3 pbc="T T T"
Pt 2.9137 0.9673 -2.4203
Pt 0.9673 0.9712 2.4203
Pt -0.9712 0.9752 7.2608
Pt 0.9752 0.9712 12.1013
Au 0.0000 0.0000 0.0000
Au 0.0000 1.9425 4.8405
Cl 1.9425 0.0000 4.8405
Cl 0.0000 0.0000 9.6810
```

## Properties
Its crystal system is tetragonal. Its total magnetic moment is 0.0 μB/f.u. The energy relative to the elements, uncorrected comes out at 0.561 eV per atom. The energy above the lowest structure with this stoichiometry comes out at 375.6 meV/atom. For the final energy, the calculation gives -29.93 eV/cell. Its space-group type is I-42d, No. 122. The calculated volume comes out at 146.1 Å³ per cell.

Below is a relaxed PtAuCl2 crystal, with properties calculated at the GGA-PBE level.

Cell and atoms, written as extended XYZ:
```
4
Lattice="-1.8023 1.8023 6.4774 1.8023 -1.8023 6.4774 1.8023 1.8023 -6.4774" Properties=species:S:1:pos:R:3 pbc="T T T"
Pt 0.0000 0.0000 0.0000
Au 1.8023 0.0000 3.2387
Cl 0.0000 0.0000 6.4774
Cl 0.0000 1.8023 3.2387
```

## Properties
Its crystal system is tetragonal. Its total magnetic moment is 0.0 μB/f.u. The energy relative to the elements, uncorrected comes out at 0.398 eV per atom. The energy above the lowest structure with this stoichiometry comes out at 473.1 meV/atom. For the final energy, the calculation gives -11.42 eV/cell. Its space-group type is I-4m2, No. 119. The calculated volume comes out at 84.2 Å³ per cell.

Below is a relaxed PtAu3Cl crystal, with properties calculated at the GGA-PBE level.

Cell and atoms, written as extended XYZ:
```
5
Lattice="4.8152 0.0000 0.0000 0.0000 4.8152 0.0000 0.0000 0.0000 4.8152" Properties=species:S:1:pos:R:3 pbc="T T T"
Pt 0.0000 0.0000 0.0000
Au 0.0000 2.4076 2.4076
Au 2.4076 0.0000 2.4076
Au 2.4076 2.4076 0.0000
Cl 2.4076 2.4076 2.4076
```

## Properties
Its crystal system is cubic. Its total magnetic moment is 0.0 μB/f.u. The energy relative to the elements, uncorrected comes out at 1.169 eV per atom. The energy above the lowest structure with this stoichiometry comes out at 362.0 meV/atom. For the final energy, the calculation gives -11.87 eV/cell. Its space-group type is Pm-3m, No. 221. The calculated volume comes out at 111.6 Å³ per cell.

Below is a relaxed PtAuCl2 crystal, with properties calculated at the GGA-PBE level.

Cell and atoms, written as extended XYZ:
```
4
Lattice="1.7150 0.9902 7.8494 -1.7150 0.9902 7.8494 0.0000 -1.9803 7.8494" Properties=species:S:1:pos:R:3 pbc="T T T"
Pt 0.0000 0.0000 0.0000
Au 0.0000 0.0000 11.7741
Cl 0.0000 0.0000 6.2266
Cl 0.0000 0.0000 17.3217
```

## Properties
Its crystal system is trigonal. Its total magnetic moment is 0.6 μB/f.u. The energy relative to the elements, uncorrected comes out at 0.420 eV per atom. The energy above the lowest structure with this stoichiometry comes out at 494.8 meV/atom. For the final energy, the calculation gives -11.33 eV/cell. Its space-group type is R-3m, No. 166. The calculated volume comes out at 80.0 Å³ per cell.

Below is a relaxed Pt2AuCl crystal, with properties calculated at the GGA-PBE level.

Cell and atoms, written as extended XYZ:
```
4
Lattice="2.8323 0.0000 0.0000 0.0000 4.8001 0.0000 0.0000 0.0000 5.0692" Properties=species:S:1:pos:R:3 pbc="T T T"
Pt 0.0000 0.0000 0.0000
Pt 1.4162 0.0000 2.5346
Au 0.0000 2.4000 2.5346
Cl 1.4162 2.4000 0.0000
```

## Properties
Its crystal system is orthorhombic. Its total magnetic moment is 0.0 μB/f.u. The energy relative to the elements, uncorrected comes out at 0.464 eV per atom. The energy above the lowest structure with this stoichiometry comes out at 278.5 meV/atom. For the final energy, the calculation gives -15.35 eV/cell. Its space-group type is Pmmm, No. 47. The calculated volume comes out at 68.9 Å³ per cell.

Below is a relaxed Pt2AuCl crystal, with properties calculated at the GGA-PBE level.

Cell and atoms, written as extended XYZ:
```
4
Lattice="1.5250 0.8804 8.4228 -1.5250 0.8804 8.4228 0.0000 -1.7609 8.4228" Properties=species:S:1:pos:R:3 pbc="T T T"
Pt 0.0000 0.0000 6.2770
Pt 0.0000 0.0000 18.9913
Au 0.0000 0.0000 0.0000
Cl 0.0000 0.0000 12.6342
```

## Properties
Its crystal system is trigonal. Its total magnetic moment is 0.0 μB/f.u. The energy relative to the elements, uncorrected comes out at 0.342 eV per atom. The energy above the lowest structure with this stoichiometry comes out at 156.8 meV/atom. For the final energy, the calculation gives -15.84 eV/cell. Its space-group type is R-3m, No. 166. The calculated volume comes out at 67.9 Å³ per cell.

Below is a relaxed Pt2AuCl crystal, with properties calculated at the GGA-PBE level.

Cell and atoms, written as extended XYZ:
```
4
Lattice="3.2072 0.0000 0.0000 0.0000 3.2072 0.0000 0.0000 0.0000 7.1116" Properties=species:S:1:pos:R:3 pbc="T T T"
Pt 0.0000 0.0000 0.0000
Pt 1.6036 1.6036 1.3997
Au 0.0000 0.0000 3.0719
Cl 1.6036 1.6036 5.2798
```

## Properties
Its crystal system is tetragonal. Its total magnetic moment is 0.0 μB/f.u. The energy relative to the elements, uncorrected comes out at 0.330 eV per atom. The energy above the lowest structure with this stoichiometry comes out at 144.6 meV/atom. For the final energy, the calculation gives -15.89 eV/cell. Its space-group type is P4mm, No. 99. The calculated volume comes out at 73.2 Å³ per cell.

Below is a relaxed PtAuCl2 crystal, with properties calculated at the GGA-PBE level.

Cell and atoms, written as extended XYZ:
```
4
Lattice="3.0532 0.0000 0.0000 0.0000 3.6015 0.0000 -1.3393 0.0000 8.5790" Properties=species:S:1:pos:R:3 pbc="T T T"
Pt 0.0000 0.0000 0.0000
Au 1.7170 1.8008 6.7136
Cl -0.0012 1.8008 1.5455
Cl 1.7202 0.0000 5.0009
```

## Properties
Its crystal system is monoclinic. Its total magnetic moment is 0.0 μB/f.u. The energy relative to the elements, uncorrected comes out at -0.024 eV per atom. The energy above the lowest structure with this stoichiometry comes out at 50.6 meV/atom. For the final energy, the calculation gives -13.11 eV/cell. Its space-group type is Pm, No. 6. The calculated volume comes out at 94.3 Å³ per cell.

Below is a relaxed PtAuCl2 crystal, with properties calculated at the GGA-PBE level.

Cell and atoms, written as extended XYZ:
```
4
Lattice="1.8249 -2.9512 0.0000 1.8249 2.9512 0.0000 0.0000 0.0000 8.4109" Properties=species:S:1:pos:R:3 pbc="T T T"
Pt 0.0000 0.0000 0.0000
Au 1.8249 0.0000 1.8445
Cl 0.0000 0.0000 3.5147
Cl 1.8249 0.0000 6.8635
```

## Properties
Its crystal system is orthorhombic. Its total magnetic moment is 0.0 μB/f.u. The energy relative to the elements, uncorrected comes out at 0.033 eV per atom. The energy above the lowest structure with this stoichiometry comes out at 108.0 meV/atom. For the final energy, the calculation gives -12.88 eV/cell. Its space-group type is Cmm2, No. 35. The calculated volume comes out at 90.6 Å³ per cell.

Below is a relaxed PtAu2Cl2 crystal, with properties calculated at the GGA-PBE level.

Cell and atoms, written as extended XYZ:
```
10
Lattice="6.0825 0.0000 0.0000 0.0000 6.0825 0.0000 0.0000 0.0000 7.0289" Properties=species:S:1:pos:R:3 pbc="T T T"
Pt 0.0000 0.0000 0.0000
Pt 3.0412 3.0412 0.0000
Au 0.9638 2.0774 3.5145
Au 2.0774 5.1187 3.5145
Au 4.0050 0.9638 3.5145
Au 5.1187 4.0050 3.5145
Cl 0.9974 4.0386 0.0000
Cl 2.0439 0.9974 0.0000
Cl 4.0386 5.0851 0.0000
Cl 5.0851 2.0439 0.0000
```

## Properties
Its crystal system is tetragonal. Its total magnetic moment is 0.0 μB/f.u. The energy relative to the elements, uncorrected comes out at 0.372 eV per atom. The energy above the lowest structure with this stoichiometry comes out at 0.0 meV/atom. For the final energy, the calculation gives -28.86 eV/cell. Its space-group type is P4/mbm, No. 127. The calculated volume comes out at 260.0 Å³ per cell.

Below is a relaxed Pt2AuCl crystal, with properties calculated at the GGA-PBE level.

Cell and atoms, written as extended XYZ:
```
4
Lattice="5.3375 -1.4088 0.0000 5.3375 1.4088 0.0000 -2.5993 0.0000 4.5924" Properties=species:S:1:pos:R:3 pbc="T T T"
Pt 1.9710 0.0000 1.1213
Pt 6.1047 0.0000 3.4711
Au -1.2997 0.0000 2.2962
Cl 5.3375 0.0000 0.0000
```

## Properties
Its crystal system is monoclinic. Its total magnetic moment is 0.0 μB/f.u. The energy relative to the elements, uncorrected comes out at 0.434 eV per atom. The energy above the lowest structure with this stoichiometry comes out at 248.9 meV/atom. For the final energy, the calculation gives -15.47 eV/cell. Its space-group type is C2/m, No. 12. The calculated volume comes out at 69.1 Å³ per cell.